Record 1
First-principles (PBE) data for a relaxed LaCo2PdI crystal, as listed in the Alexandria database.

For the formation energy without anion corrections, the calculation gives 378 kJ/mol of formula units. The value obtained for the theoretical density is 6.369 g cm⁻³. As for the volume: 25.56 A^3/atom. The space-group type is P4/mmm, No. 123. For the raw total energy, the calculation gives -4.392 eV per atom.

Unit cell a=4.6001 b=4.6001 c=6.0388 alpha=90.00 beta=90.00 gamma=90.00
With the nearest neighbours (Å) after each atom.
Fractional positions:
La 0.0000 0.0000 0.0000  2 I 3.02, 4 Pd 3.25
Co 0.0000 0.5000 0.5000  2 I 2.30
Co 0.5000 0.0000 0.5000  2 I 2.30
Pd 0.5000 0.5000 0.0000  4 La 3.25
I 0.0000 0.0000 0.5000  4 Co 2.30

Record 2
First-principles (PBE) data for a relaxed SbTeAu crystal, as listed in the Alexandria database.

For the formation energy without anion corrections, the calculation gives 45 kJ/mol of formula units. The value obtained for the theoretical density is 9.340 g cm⁻³. As for the volume: 26.45 A^3/atom. The space-group type is Fmm2, No. 42. For the raw total energy, the calculation gives -3.360 eV per atom.

Unit cell a=7.0555 b=6.7311 c=3.6307 alpha=79.73 beta=69.84 gamma=30.42
With the nearest neighbours (Å) after each atom.
Fractional positions:
Sb 0.0000 0.0000 0.0000  2 Au 2.76
Te 0.2868 0.2868 0.7132  2 Au 2.80
Au 0.6405 0.6405 0.3595  2 Sb 2.76, 2 Te 2.80

Record 3
First-principles (PBE) data for a relaxed SbHPd2Pt crystal, as listed in the Alexandria database.

The value obtained for the theoretical density is 12.467 g cm⁻³. As for the volume: 14.14 A^3/atom. The space-group type is P4/mmm, No. 123. For the raw total energy, the calculation gives -4.963 eV per atom.

Unit cell a=4.1471 b=4.1471 c=4.1100 alpha=90.00 beta=90.00 gamma=90.00
With the nearest neighbours (Å) after each atom.
Fractional positions:
Sb 0.0000 0.0000 0.0000  8 Pd 2.92, 4 Pt 2.93
H 0.5000 0.5000 0.5000  2 Pt 2.05, 4 Pd 2.07
Pd 0.0000 0.5000 0.5000  2 H 2.07
Pd 0.5000 0.0000 0.5000  2 H 2.07
Pt 0.5000 0.5000 0.0000  2 H 2.05